DFT (GGA-PBEsol) results for crystalline Nb2CdRu at its relaxed geometry.

POSCAR file:
```
Nb2CdRu
1.0
0.000 3.239 3.239
3.239 0.000 3.239
3.239 3.239 0.000
Nb Cd Ru
2 1 1
direct
0.250 0.250 0.250
0.750 0.750 0.750
0.000 0.000 0.000
0.500 0.500 0.500
```

## Properties
- total magnetic moment (μB/f.u.) = 0.0
- energy (eV per atom) = -7.9367
- calculated volume (Å³/f.u.) = 68